[1]
DFT (PBE) results for an optimized crystal structure of CrInTe2.

POSCAR file:
```
CrInTe2
1.0
-3.610 -4.051 -3.551
2.955 -5.064 2.772
-4.937 -4.634 4.383
Cr In Te
2 2 4
Direct
0.250 0.750 0.500 Cr
0.500 0.500 0.000 Cr
0.750 0.250 0.500 In
0.000 0.000 0.000 In
0.875 0.843 0.750 Te
0.593 0.125 0.250 Te
0.157 0.625 0.250 Te
0.375 0.407 0.750 Te
```

As for the space group: I-42d (122). The calculation puts the total magnetization at 4.27 μB/f.u.

---

[2]
DFT (PBE) results for an optimized crystal structure of Cr2InTe4.

POSCAR file:
```
Cr2InTe4
1.0
-7.849 -2.841 -0.696
2.872 -7.865 -0.245
2.086 5.022 6.366
In Te Cr
2 8 4
Direct
0.250 0.750 0.500 In
0.000 0.000 0.000 In
0.425 0.142 0.283 Te
0.392 0.608 0.217 Te
0.858 0.142 0.283 Te
0.859 0.575 0.717 Te
0.392 0.608 0.783 Te
0.391 0.175 0.783 Te
0.825 0.608 0.217 Te
0.858 0.142 0.717 Te
0.625 0.375 0.250 Cr
0.625 0.875 0.250 Cr
0.125 0.375 0.750 Cr
0.625 0.375 0.750 Cr
```

The calculation puts the polymorph energy (0 for the lowest one) at 0.0 meV per atom. As for the space group: I4_1/amd (141). The calculation puts the total magnetization at 6.47 μB/f.u.

---

[3]
DFT (PBE) results for an optimized crystal structure of CrInTe2.

POSCAR file:
```
CrInTe2
1.0
-2.932 -3.864 2.180
4.193 -2.603 -1.981
2.207 -0.976 3.483
Te Cr In
2 1 1
Direct
0.000 0.000 0.000 Te
0.500 0.500 0.000 Te
0.500 0.000 0.500 Cr
0.000 0.500 0.500 In
```

As for the space group: C2/m (12). The calculation puts the total magnetization at 4.36 μB/f.u.

---

[4]
DFT (PBE) results for an optimized crystal structure of CrInTe3.

POSCAR file:
```
CrInTe3
1.0
5.295 0.000 0.000
0.000 5.295 0.000
0.000 0.000 5.295
Te In Cr
3 1 1
Direct
0.500 0.000 0.000 Te
0.000 0.000 0.500 Te
0.000 0.500 0.000 Te
0.500 0.500 0.500 In
0.000 0.000 0.000 Cr
```

The calculation puts the polymorph energy (0 for the lowest one) at 355.5 meV per atom. As for the space group: Pm-3m (221). The calculation puts the total magnetization at 2.25 μB/f.u.

---

[5]
DFT (PBE) results for an optimized crystal structure of CrInTe2.

POSCAR file:
```
CrInTe2
1.0
7.967 0.208 0.000
5.723 5.545 0.000
-6.845 -2.877 2.895
Cr In Te
1 1 2
Direct
0.500 0.500 0.000 Cr
0.750 0.250 0.500 In
0.000 0.000 0.000 Te
0.250 0.750 0.500 Te
```

As for the space group: I-4m2 (119). The calculation puts the total magnetization at 4.10 μB/f.u.

---

[6]
DFT (PBE) results for an optimized crystal structure of CrInTe3.

POSCAR file:
```
CrInTe3
1.0
-0.317 -3.054 2.758
7.453 -0.054 0.796
-8.284 6.628 6.389
In Te Cr
2 6 2
Direct
0.250 0.363 0.767 In
0.750 0.637 0.233 In
0.750 0.033 0.665 Te
0.750 0.365 0.321 Te
0.750 0.782 0.998 Te
0.250 0.218 0.002 Te
0.250 0.635 0.679 Te
0.250 0.967 0.335 Te
0.750 0.920 0.839 Cr
0.250 0.080 0.161 Cr
```

The calculation puts the polymorph energy (0 for the lowest one) at 0.0 meV per atom. As for the space group: P2_1/m (11). The calculation puts the total magnetization at 2.83 μB/f.u.

---

| no. | uncorrected formation energy (eV per atom) |
| --- | --- |
| 1 | -0.041 |
| 2 | -0.231 |
| 3 | 0.192 |
| 4 | 0.158 |
| 5 | 0.198 |
| 6 | -0.198 |